Computed, not measured: a PBEsol-optimized structure of TlHg2As at the meta-GGA SCAN level of DFT.

Lattice parameters (Å, degrees): 3.4456 5.0005 5.4714 90.00 90.00 90.00
Atoms (fractional coordinates):
Tl (0.0000, 0.0000, 0.0000)
Hg (0.0000, 0.5000, 0.5000)
Hg (0.5000, 0.5000, 0.0000)
As (0.5000, 0.0000, 0.5000)

D(E_F) ... 0.338 states/eV per atom
Offset from the most stable computed form ... 0.015 eV per atom
SG ... Pmmm
E ... -57.005 eV per atom

Computed, not measured: a PBEsol-optimized structure of TlHgAs2 at the meta-GGA SCAN level of DFT.

Lattice parameters (Å, degrees): 5.7301 5.7301 3.0801 97.14 97.14 116.29
Atoms (fractional coordinates):
Tl (0.0000, 0.0000, 0.0000)
Hg (0.5000, 0.5000, 0.0000)
As (0.0000, 0.5000, 0.5000)
As (0.5000, 0.0000, 0.5000)

D(E_F) ... 0.497 states/eV per atom
Offset from the most stable computed form ... 0.386 eV per atom
SG ... C2/m
E ... -44.826 eV per atom